Record 1
# CoSiPO2

CoSiPO2 after structural relaxation (GGA+U, Alexandria).

Calculated values
- E_tot: -29.840 eV for the cell shown
- Magnetization: 2.672 μB/cell
- Fermi-level density of states: 2.6 states/eV/f.u.
- Symmetry: P4/mmm, No. 123

Cell lengths 3.3731, 3.3731, 5.5020 Å; angles 90.00, 90.00, 90.00 degrees
Last column: nearest neighbours and their distance in Å.
Element x y z (fractional)
P 0.0000 0.0000 0.5000  4 Co 2.39
Si 0.0000 0.0000 0.0000  4 O 1.69
Co 0.5000 0.5000 0.5000  4 P 2.39
O 0.0000 0.5000 0.0000  2 Si 1.69
O 0.5000 0.0000 0.0000  2 Si 1.69



Record 2
# CoSiP2O

CoSiP2O after structural relaxation (GGA+U, Alexandria).

Calculated values
- E_tot: -25.021 eV for the cell shown
- Magnetization: 0.435 μB/cell
- Fermi-level density of states: 4.1 states/eV/f.u.
- Symmetry: P4/mmm, No. 123

Cell lengths 4.7195, 4.7195, 3.2058 Å; angles 90.00, 90.00, 90.00 degrees
Last column: nearest neighbours and their distance in Å.
Element x y z (fractional)
P 0.0000 0.5000 0.0000  2 Si 2.36
P 0.5000 0.0000 0.0000  2 Si 2.36
Si 0.0000 0.0000 0.0000  2 O 1.60
Co 0.5000 0.5000 0.5000  8 P 2.85
O 0.0000 0.0000 0.5000  2 Si 1.60